The following is a DFT calculation (PBE) of an optimized crystal structure of TiNb2VCr.

Cell: 4.767 4.049 4.767 Å, 90.00 90.00 90.00°
Fractional positions:
Ti 0.000 0.000 0.000
Cr 0.500 0.500 0.500
Nb 0.000 0.000 0.500
V 0.000 0.500 0.000
Nb 0.500 0.000 0.000

## Properties
crystal system: tetragonal
energy of formation: 34.84 kcal/mol of atoms
space group: P4/mmm
theoretical density: 6.08 Mg/m³

***

The following is a DFT calculation (PBE) of an optimized crystal structure of Li3Mg.

Cell: 3.009 3.009 9.866 Å, 90.00 90.00 111.39°
Fractional positions:
Mg 0.500 0.500 0.250
Li 0.500 0.500 0.750
Li 0.000 0.000 0.999
Li 0.000 0.000 0.501

## Properties
crystal system: orthorhombic
energy of formation: -0.10 kcal/mol of atoms
space group: Cmmm
theoretical density: 0.90 Mg/m³

***

Question: The highest theoretical density belongs to which entry?
Answer: TiNb2VCr